First-principles (PBEsol) data for crystalline KBi2Sb2 at its relaxed geometry, as listed in Alexandria.

Cell: 4.7161 4.7161 8.3007 Å, 106.50 106.50 90.00°
Element x y z (fractional)
Sb 0.5948 0.5948 0.1897
Sb 0.4052 0.4052 0.8103
K 0.0000 0.0000 0.0000
Bi 0.7500 0.2500 0.5000
Bi 0.2500 0.7500 0.5000

Computed properties:
- raw formation energy (eV/atom) = -0.04
- energy above the most stable polymorph in this dataset (eV/f.u.) = 0.42
- space group = No. 139